Density functional theory data (PBEsol) for a relaxed LaZn4As crystal.

Computed properties:
- DOS(E_F) (states/eV per atom) = 0.448
- symmetry = F-43m, No. 216
- spin magnetization (μB per formula unit) = 0.0
- crystal system = cubic
- ΔH_f (0 K) (eV per atom) = -0.135

Lattice parameters (Å, degrees): 5.399 5.399 5.399 60.00 60.00 60.00
Atoms (fractional coordinates):
As: 0.750 0.750 0.750
La: 0.000 0.000 0.000
Zn: 0.376 0.376 0.376
Zn: 0.376 0.376 0.871
Zn: 0.871 0.376 0.376
Zn: 0.376 0.871 0.376